The following is a DFT calculation (PBE-GGA) of an optimized crystal structure of KBaI3.

Cell and atoms, written as POSCAR:
```
KBaI3
1.0
9.411 0.000 0.000
0.000 5.119 0.000
0.000 0.000 19.664
K Ba I
4 4 12
Cartesian
0.925 1.280 4.275 K
3.781 3.840 14.107 K
5.630 1.280 5.557 K
8.486 3.840 15.389 K
2.280 3.840 9.001 Ba
2.426 1.280 18.833 Ba
6.985 3.840 0.831 Ba
7.131 1.280 10.663 Ba
0.120 1.280 7.974 I
1.189 3.840 1.259 I
1.684 1.280 15.420 I
3.022 3.840 5.588 I
3.516 1.280 11.091 I
4.586 3.840 17.806 I
4.825 1.280 1.858 I
5.895 3.840 8.573 I
6.389 1.280 14.076 I
7.727 3.840 4.244 I
8.222 1.280 18.405 I
9.291 3.840 11.690 I
```

Computed properties:
D(E_F), states/eV/cell: 0.0
Raw formation energy, eV per atom: -1.66
Total magnetization, μB per formula unit: 0.0
Calculated volume, Å³/cell: 947.4
SG: Pnma (62)